Cs3PCl7 | GGA-PBE | relaxed

Output
Total energy ... -35.44 eV per formula unit
Theoretical density ... 2996 kg/m³
D(E_F) ... 8.28 states/eV per cell
ΔE_f (raw) ... -1.32 eV per atom
Symmetry ... No. 127

Cell lengths 10.1414, 10.1414, 7.3068 Å; angles 90.00, 90.00, 90.00 degrees
Atoms (fractional coordinates):
Cs1 0.0000 0.0000 0.0000
Cs2 0.1800 0.3200 0.5000
Cs3 0.3200 0.8200 0.5000
Cs4 0.5000 0.5000 0.0000
Cs5 0.6800 0.1800 0.5000
Cs6 0.8200 0.6800 0.5000
P1 0.0000 0.5000 0.0000
P2 0.5000 0.0000 0.0000
Cl1 0.0000 0.0000 0.5000
Cl2 0.1131 0.6131 0.2235
Cl3 0.1131 0.6131 0.7765
Cl4 0.1599 0.3401 0.0000
Cl5 0.3401 0.8401 0.0000
Cl6 0.3869 0.1131 0.2235
Cl7 0.3869 0.1131 0.7765
Cl8 0.5000 0.5000 0.5000
Cl9 0.6131 0.8869 0.2235
Cl10 0.6131 0.8869 0.7765
Cl11 0.6599 0.1599 0.0000
Cl12 0.8401 0.6599 0.0000
Cl13 0.8869 0.3869 0.2235
Cl14 0.8869 0.3869 0.7765


CsPCl3 | GGA-PBE | relaxed

Output
Total energy ... -17.26 eV per formula unit
Energy relative to the lowest polymorph listed for this composition ... 0.000 eV/atom
Theoretical density ... 2289 kg/m³
D(E_F) ... 0.00 states/eV per cell
ΔE_f (raw) ... -1.09 eV per atom
Symmetry ... No. 14

Cell lengths 6.7752, 7.0699, 17.2916 Å; angles 90.00, 108.77, 90.00 degrees
Atoms (fractional coordinates):
Cs1 0.2478 0.0807 0.2435
Cs2 0.2478 0.4193 0.7435
Cs3 0.7522 0.5807 0.2565
Cs4 0.7522 0.9193 0.7565
P1 0.3717 0.5928 0.4584
P2 0.3717 0.9072 0.9584
P3 0.6283 0.0928 0.0416
P4 0.6283 0.4072 0.5416
Cl1 0.2327 0.5782 0.2346
Cl2 0.2327 0.9218 0.7346
Cl3 0.2868 0.7125 0.5535
Cl4 0.2868 0.7875 0.0535
Cl5 0.4214 0.2067 0.5576
Cl6 0.4214 0.2933 0.0576
Cl7 0.5786 0.7067 0.9424
Cl8 0.5786 0.7933 0.4424
Cl9 0.7132 0.2125 0.9465
Cl10 0.7132 0.2875 0.4465
Cl11 0.7673 0.0782 0.2654
Cl12 0.7673 0.4218 0.7654


> The lowest ΔE_f (raw) belongs to which entry?

Cs3PCl7


> The lowest ΔE_f (raw) belongs to which entry?

Cs3PCl7


> Among the records above, which one has the lowest D(E_F)?

CsPCl3


> Among the records above, which one has the highest D(E_F)?

Cs3PCl7